Computed, not measured: a geometry-optimized Rb2UTlF8 structure at the GGA-PBE level of DFT.

Cell lengths 7.568, 7.568, 7.568 Å; angles 131.25, 131.25, 71.42 degrees
Element x y z (fractional)
Rb1 0.000 0.000 0.000
Rb2 0.750 0.250 0.500
U1 0.250 0.750 0.500
Tl1 0.500 0.500 0.000
F1 0.149 0.060 0.500
F2 0.149 0.649 0.090
F3 0.351 0.441 0.500
F4 0.351 0.851 0.910
F5 0.559 0.060 0.910
F6 0.559 0.649 0.500
F7 0.940 0.441 0.090
F8 0.940 0.851 0.500

Properties
D(E_F), states/eV per cell: 8.48
Formation energy (no corrections), kcal/mol of atoms: -70.50
Magnetic moment, μB per atom: 0.0833


Computed, not measured: a geometry-optimized CaTe2Br structure at the GGA-PBE level of DFT.

Cell lengths 7.334, 7.334, 5.720 Å; angles 96.34, 96.34, 30.08 degrees
Element x y z (fractional)
Ca1 0.000 0.000 0.000
Te1 0.325 0.325 0.763
Te2 0.474 0.474 0.508
Br1 0.644 0.644 0.130

Properties
D(E_F), states/eV per cell: 0.74
Formation energy (no corrections), kcal/mol of atoms: -22.19
Magnetic moment, μB per atom: 0.0000


Computed, not measured: a geometry-optimized Ac4TlZn structure at the GGA-PBE level of DFT.

Cell lengths 5.520, 5.520, 7.905 Å; angles 90.00, 90.00, 90.00 degrees
Element x y z (fractional)
Ac1 0.000 0.500 0.236
Ac2 0.000 0.500 0.764
Ac3 0.500 0.000 0.236
Ac4 0.500 0.000 0.764
Tl1 0.000 0.000 0.500
Zn1 0.500 0.500 0.000

Properties
D(E_F), states/eV per cell: 8.76
ΔH_f (0 K), eV per atom: -0.023
Magnetic moment, μB per atom: 0.0001


| no. | calculated density (g/cm3) |
| --- | --- |
| 1 | 5.299 |
| 2 | 4.067 |
| 3 | 8.120 |